Entry 1:
5
Lattice="-3.5400 2.6254 1.1194 -2.7047 -2.5164 -2.6514 -0.9113 -2.7299 3.5205" Properties=species:S:1:pos:R:3 comment="Na3BrO, PBEsol geometry, DFT SCAN" formation_energy_uncorrected_ev_per_atom=-1.56 e_tot_ev_per_atom=-9.22 pbc="T T T"
Na -3.1223 0.0545 -0.7660
Na -1.8080 -2.6231 0.4346
Na -2.2256 -0.0523 2.3200
Br 0.0000 0.0000 0.0000
O -3.5780 -1.3105 0.9943

***

Entry 2:
4
Lattice="-1.8529 -2.5290 1.8097 3.3733 -0.2593 3.0915 -1.6463 4.3278 2.1593" Properties=species:S:1:pos:R:3 comment="As2PbW, PBEsol geometry, DFT SCAN" e_tot_ev_per_atom=-45.81 delta_e_f_mev_per_atom=649 pbc="T T T"
As -2.6119 0.8906 2.9247
As -0.8872 0.9082 1.0443
Pb 0.7602 -1.3941 2.4506
W 0.8635 2.0343 2.6254

***

Entry 3:
5
Lattice="4.7551 0.0000 0.0000 0.0000 4.7551 0.0000 0.0000 0.0000 4.7551" Properties=species:S:1:pos:R:3 comment="ScSnIr3, PBEsol geometry, DFT SCAN" e_tot_ev_per_atom=-51.49 delta_e_f_mev_per_atom=1202 pbc="T T T"
Sn 0.0000 0.0000 0.0000
Sc 2.3775 2.3775 2.3775
Ir 2.3775 0.0000 0.0000
Ir 0.0000 0.0000 2.3775
Ir 0.0000 2.3775 0.0000

***

Entry 4:
28
Lattice="-6.5561 0.2281 4.4435 6.2536 -0.3888 4.5584 0.4058 8.4568 0.1646" Properties=species:S:1:pos:R:3 comment="CsHSeO4, PBEsol geometry, DFT SCAN" e_tot_ev_per_atom=-13.55 pbc="T T T"
O -2.7063 6.1489 3.1171
O 3.4023 1.7366 3.4106
O -0.1870 6.0587 8.0290
O 1.9456 7.6459 7.2652
O 4.0581 4.1274 4.5768
O -1.3267 4.8064 4.9270
O 1.4300 3.4898 4.2395
O -1.0146 0.0879 6.7932
O 2.8096 2.1473 6.0493
O 0.4472 6.5129 5.4072
O -1.8424 0.6503 1.9012
O -3.9549 4.1687 4.5896
O 1.1178 8.2082 2.3733
O -3.2991 6.5595 5.7558
O -0.3440 1.7833 3.7593
O 0.2902 2.2374 1.1374
Se 0.3521 7.2186 6.9981
Se -2.8716 5.3942 4.6796
Se 2.9748 2.9019 4.4868
Se -0.2488 1.0775 2.1684
H -3.4381 6.9130 2.9942
H -0.3540 5.8276 5.2560
H 3.5413 1.3831 6.1723
H 0.4573 2.4686 3.9104
Cs -3.3090 1.1438 4.9031
Cs 0.1860 5.2734 1.9438
Cs 3.4123 7.1523 4.2633
Cs -0.0828 3.0227 7.2227

***

Entry 5:
4
Lattice="3.8822 0.0000 0.0000 0.0000 5.7930 0.0000 -1.9411 -2.8965 5.6249" Properties=species:S:1:pos:R:3 comment="K2BeCr, PBEsol geometry, DFT SCAN" e_tot_ev_per_atom=-9.10 delta_e_f_mev_per_atom=751 pbc="T T T"
K 1.9411 0.0000 3.2165
K 1.9411 2.8965 5.4009
Cr 0.0000 2.8965 1.9709
Be 1.9411 2.8965 0.6614

***

Entry 6:
10
Lattice="3.1584 0.0000 0.0000 0.0000 7.2193 0.0000 0.0000 0.0000 7.2193" Properties=species:S:1:pos:R:3 comment="Hf2ZrBe2, PBEsol geometry, DFT SCAN" e_tot_ev_per_atom=-32.96 delta_e_f_mev_per_atom=-14 pbc="T T T"
Be 0.0000 6.4279 4.4010
Be 0.0000 4.4010 0.7914
Be 0.0000 0.7914 2.8183
Be 0.0000 2.8183 6.4279
Zr 0.0000 0.0000 0.0000
Zr 0.0000 3.6096 3.6096
Hf 1.5792 2.3127 1.2969
Hf 1.5792 5.9224 2.3127
Hf 1.5792 1.2969 4.9066
Hf 1.5792 4.9066 5.9224

***

Entry 7:
5
Lattice="3.7367 0.0000 0.0000 0.0000 5.6586 0.0000 0.0000 0.0000 5.6586" Properties=species:S:1:pos:R:3 comment="TiCdI2O, PBEsol geometry, DFT SCAN" formation_energy_uncorrected_ev_per_atom=-1.09 e_tot_ev_per_atom=-26.32 pbc="T T T"
Cd 1.8683 2.8293 2.8293
I 0.0000 0.0000 2.8293
I 0.0000 2.8293 0.0000
O 1.8683 0.0000 0.0000
Ti 0.0000 0.0000 0.0000

***

Entry 8:
5
Lattice="-1.3296 -3.5070 -1.2173 0.4827 -1.4454 3.6368 -5.0394 4.0750 0.1508" Properties=species:S:1:pos:R:3 comment="YGa2Pt2, PBEsol geometry, DFT SCAN" e_tot_ev_per_atom=-41.31 delta_e_f_mev_per_atom=-1126 pbc="T T T"
Pt -4.2293 1.2378 1.0533
Pt -1.6570 -2.1152 1.5170
Ga -3.3962 -0.9541 0.0716
Ga -2.4901 0.0767 2.4987
Y 0.0000 0.0000 0.0000

***

Entry 9:
6
Lattice="4.0219 0.0000 0.0000 0.0000 4.0395 0.0000 -2.0110 0.0000 8.2119" Properties=species:S:1:pos:R:3 comment="Ag2Br, PBEsol geometry, DFT SCAN" formation_energy_uncorrected_ev_per_atom=-0.19 e_tot_ev_per_atom=-27.59 relative_energy_mev_per_atom=0 pbc="T T T"
Ag 0.0000 1.0099 1.0244
Ag 0.0000 1.0099 7.1978
Ag 2.0110 3.0297 7.1875
Ag 2.0110 3.0297 1.0141
Br 2.0110 1.0099 2.8971
Br 0.0000 3.0297 5.3148

***

Entry 10:
5
Lattice="4.2916 0.0000 0.0000 0.0000 6.2320 0.0000 0.0000 0.0000 6.2320" Properties=species:S:1:pos:R:3 comment="RbMg2AgH, PBEsol geometry, DFT SCAN" e_tot_ev_per_atom=-11.98 pbc="T T T"
Ag 2.1458 3.1160 3.1160
Mg 0.0000 3.1160 0.0000
Mg 0.0000 0.0000 3.1160
H 2.1458 0.0000 0.0000
Rb 0.0000 0.0000 0.0000

***

Entry 11:
3
Lattice="2.5815 0.0000 0.0000 -1.2907 2.2356 0.0000 0.0000 0.0000 6.1158" Properties=species:S:1:pos:R:3 comment="MnCoOs, PBEsol geometry, DFT SCAN" e_tot_ev_per_atom=-35.57 delta_e_f_mev_per_atom=245 relative_energy_mev_per_atom=33 pbc="T T T"
Co 0.0000 0.0000 6.0461
Os 1.2907 0.7452 2.0698
Mn 0.0000 1.4904 4.1158

***

Entry 12:
10
Lattice="2.8550 0.0000 0.0000 0.0000 7.6709 0.0000 0.0000 0.0000 7.6709" Properties=species:S:1:pos:R:3 comment="Al2PAu2, PBEsol geometry, DFT SCAN" e_tot_ev_per_atom=-32.92 delta_e_f_mev_per_atom=-81 pbc="T T T"
Au 1.4275 0.9730 4.8085
Au 1.4275 6.6979 2.8625
Au 1.4275 2.8625 0.9730
Au 1.4275 4.8085 6.6979
P 0.0000 3.8355 3.8355
P 0.0000 0.0000 0.0000
Al 0.0000 1.3410 2.4945
Al 0.0000 5.1765 1.3410
Al 0.0000 6.3299 5.1765
Al 0.0000 2.4945 6.3299

***

Entry 13:
12
Lattice="6.1947 0.0000 0.0000 0.0000 6.1947 0.0000 0.0000 0.0000 6.1947" Properties=species:S:1:pos:R:3 comment="EuPIr, PBEsol geometry, DFT SCAN" e_tot_ev_per_atom=-46.27 delta_e_f_mev_per_atom=-1201 pbc="T T T"
P 2.0351 4.1596 1.0622
P 1.0622 2.0351 4.1596
P 5.1325 5.1325 5.1325
P 4.1596 1.0622 2.0351
Ir 0.5117 3.6091 5.6830
Ir 2.5856 2.5856 2.5856
Ir 3.6091 5.6830 0.5117
Ir 5.6830 0.5117 3.6091
Eu 2.4277 5.5251 3.7670
Eu 0.6696 0.6696 0.6696
Eu 3.7670 2.4277 5.5251
Eu 5.5251 3.7670 2.4277

***

Entry 14:
5
Lattice="4.5430 0.0000 0.0000 0.0000 4.5430 0.0000 0.0000 0.0000 4.5430" Properties=species:S:1:pos:R:3 comment="CoPt3Br, PBEsol geometry, DFT SCAN" formation_energy_uncorrected_ev_per_atom=1.17 e_tot_ev_per_atom=-48.30 pbc="T T T"
Br 2.2715 2.2715 2.2715
Co 0.0000 0.0000 0.0000
Pt 2.2715 0.0000 0.0000
Pt 0.0000 2.2715 0.0000
Pt 0.0000 0.0000 2.2715

***

Entry 15:
4
Lattice="-4.7521 1.0881 -1.6666 -4.0777 -2.2718 2.1806 -3.2019 2.7453 2.9588" Properties=species:S:1:pos:R:3 comment="ZrInSb2, PBEsol geometry, DFT SCAN" formation_energy_uncorrected_ev_per_atom=0.16 e_tot_ev_per_atom=-34.49 pbc="T T T"
Zr -3.0079 0.3904 0.8682
Sb -9.0238 1.1712 2.6046
Sb 0.0000 0.0000 0.0000
In -6.0158 0.7808 1.7364

***

Entry 16:
4
Lattice="2.5696 0.0000 0.0000 0.0000 4.3400 0.0027 -1.2848 -1.3621 4.3314" Properties=species:S:1:pos:R:3 comment="BeW, PBEsol geometry, DFT SCAN" e_tot_ev_per_atom=-36.87 delta_e_f_mev_per_atom=151 relative_energy_mev_per_atom=335 pbc="T T T"
Be 1.2848 1.8674 3.0005
Be 0.0000 1.1106 1.3335
W 1.2848 3.2838 0.8673
W 0.0000 -0.3059 3.4668

***

Entry 17:
5
Lattice="-1.2294 0.8590 -3.3269 -3.4282 -0.5442 1.1263 -0.2574 3.9051 1.1034" Properties=species:S:1:pos:R:3 comment="HfNiNF2, PBEsol geometry, DFT SCAN" formation_energy_uncorrected_ev_per_atom=-0.83 e_tot_ev_per_atom=-19.88 pbc="T T T"
F -0.6147 0.4295 -1.6634
F -1.7141 -0.2721 0.5632
N -0.1287 1.9525 0.5517
Hf -2.4575 2.1100 -0.5486
Ni 0.0000 0.0000 0.0000

***

Entry 18:
5
Lattice="4.4395 0.0000 0.0000 0.0000 4.4395 0.0000 0.0000 0.0000 4.8239" Properties=species:S:1:pos:R:3 comment="P2OsCS, PBEsol geometry, DFT SCAN" formation_energy_uncorrected_ev_per_atom=1.95 e_tot_ev_per_atom=-20.53 pbc="T T T"
P 0.0000 2.2198 0.0000
P 2.2198 0.0000 0.0000
C 2.2198 2.2198 2.4119
Os 0.0000 0.0000 0.0000
S 0.0000 0.0000 2.4119

***

Entry 19:
5
Lattice="4.1762 0.0000 0.0000 0.0000 4.1762 0.0000 -2.0881 -2.0881 5.3429" Properties=species:S:1:pos:R:3 comment="PrGa3Pd, PBEsol geometry, DFT SCAN" e_tot_ev_per_atom=-25.83 delta_e_f_mev_per_atom=-798 pbc="T T T"
Ga 0.0000 0.0000 4.1131
Ga 0.0000 2.0881 2.6715
Ga 2.0881 2.0881 1.2298
Pr 0.0000 0.0000 0.0000
Pd 2.0881 0.0000 2.6715

***

Entry 20:
14
Lattice="3.8106 0.0000 0.0000 0.0000 3.8106 0.0000 0.0000 0.0000 11.4188" Properties=species:S:1:pos:R:3 comment="Ba2YNi3O8, PBEsol geometry, DFT SCAN" formation_energy_uncorrected_ev_per_atom=-2.14 e_tot_ev_per_atom=-16.81 pbc="T T T"
Y 1.9053 1.9053 5.7094
O 0.0000 1.9053 7.0986
O 0.0000 0.0000 2.0498
O 0.0000 1.9053 0.0000
O 1.9053 0.0000 4.3202
O 1.9053 0.0000 7.0986
O 0.0000 0.0000 9.3689
O 1.9053 0.0000 0.0000
O 0.0000 1.9053 4.3202
Ba 1.9053 1.9053 1.9501
Ba 1.9053 1.9053 9.4687
Ni 0.0000 0.0000 0.0000
Ni 0.0000 0.0000 3.9371
Ni 0.0000 0.0000 7.4816

***

Entry 21:
4
Lattice="-1.8926 1.3209 -1.4684 -0.7639 -1.7889 1.9234 -0.1155 6.3801 5.8881" Properties=species:S:1:pos:R:3 comment="ReOs3, PBEsol geometry, DFT SCAN" e_tot_ev_per_atom=-71.73 delta_e_f_mev_per_atom=-50 relative_energy_mev_per_atom=43 pbc="T T T"
Os -1.1690 0.8386 2.2610
Os 0.0000 0.0000 0.0000
Os -1.2269 4.0370 5.2127
Re -0.0577 3.1901 2.9441

***

Entry 22:
5
Lattice="-0.4857 3.6132 -1.2118 0.4580 -1.3784 -4.2932 -4.4725 -0.6872 -0.2565" Properties=species:S:1:pos:R:3 comment="Sn2OsRhN, PBEsol geometry, DFT SCAN" formation_energy_uncorrected_ev_per_atom=0.86 e_tot_ev_per_atom=-36.50 pbc="T T T"
N 0.0000 0.0000 0.0000
Sn -2.2362 -0.3436 -0.1282
Sn 0.2290 -0.6892 -2.1466
Rh -0.2429 1.8066 -0.6059
Os -2.2501 0.7738 -2.8807

***

Entry 23:
5
Lattice="-2.0290 2.4756 -3.3469 -4.1595 -1.0527 1.7429 0.1709 3.7697 2.6847" Properties=species:S:1:pos:R:3 comment="Ti3InSe, PBEsol geometry, DFT SCAN" formation_energy_uncorrected_ev_per_atom=-0.13 e_tot_ev_per_atom=-20.44 pbc="T T T"
In -3.0088 2.5963 0.5404
Ti -1.0145 1.2378 -1.6735
Ti -2.0798 -0.5264 0.8715
Ti 0.0855 1.8848 1.3424
Se 0.0000 0.0000 0.0000

***

Entry 24:
5
Lattice="-3.0595 -2.7892 2.4361 -0.5608 -2.7745 -3.8810 3.6606 -2.7563 1.4415" Properties=species:S:1:pos:R:3 comment="Zr3SCl, PBEsol geometry, DFT SCAN" formation_energy_uncorrected_ev_per_atom=-0.16 e_tot_ev_per_atom=-22.10 pbc="T T T"
Cl 0.0201 -4.1600 -0.0017
Zr 1.8303 -1.3782 0.7207
Zr -1.5297 -1.3946 1.2181
Zr -0.2804 -1.3873 -1.9405
S 0.0000 0.0000 0.0000

***

Entry 25:
5
Lattice="-4.3260 -1.5922 -2.2291 2.6930 -1.7096 -4.0054 0.5012 -4.5563 2.2818" Properties=species:S:1:pos:R:3 comment="Tc3PbN, PBEsol geometry, DFT SCAN" formation_energy_uncorrected_ev_per_atom=3.47 e_tot_ev_per_atom=-34.59 pbc="T T T"
N -0.5659 -3.9291 -1.9763
Tc 1.3465 -0.8548 -2.0027
Tc -2.1630 -0.7961 -1.1145
Tc 0.2506 -2.2782 1.1409
Pb 0.0000 0.0000 0.0000

***

Entry 26:
4
Lattice="-5.2149 0.0051 0.4570 -2.7023 -4.4106 -0.8052 -2.2768 -2.4472 4.0289" Properties=species:S:1:pos:R:3 comment="GaSn2Pb, PBEsol geometry, DFT SCAN" e_tot_ev_per_atom=-40.77 delta_e_f_mev_per_atom=221 pbc="T T T"
Pb -5.0970 -3.4264 1.8403
Sn -2.5485 -1.7132 0.9202
Sn -7.6456 -5.1396 2.7605
Ga 0.0000 0.0000 0.0000

***

| no. | mass density (g/cm3) | size of the total moment (μB/f.u.) |
| --- | --- | --- |
| 1 | 2.91 | 0.08 |
| 2 | 10.85 | 0.39 |
| 3 | 11.43 | 0.00 |
| 4 | 3.76 | 0.08 |
| 5 | 1.83 | 4.85 |
| 6 | 9.41 | 0.00 |
| 7 | 5.97 | 0.76 |
| 8 | 11.29 | 0.00 |
| 9 | 7.36 | 0.00 |
| 10 | 2.42 | 0.00 |
| 11 | 14.31 | 0.29 |
| 12 | 9.47 | 0.00 |
| 13 | 10.48 | 6.86 |
| 14 | 12.82 | 3.02 |
| 15 | 7.72 | 0.00 |
| 16 | 13.26 | 0.00 |
| 17 | 8.87 | 0.00 |
| 18 | 5.17 | 0.11 |
| 19 | 8.13 | 0.00 |
| 20 | 6.69 | 0.77 |
| 21 | 22.34 | 0.00 |
| 22 | 11.46 | 0.67 |
| 23 | 5.64 | 0.00 |
| 24 | 5.11 | 0.00 |
| 25 | 6.37 | 11.77 |
| 26 | 8.42 | 0.00 |